w | # CaTi3Zn GGA-PBE relaxed
data_CaTi3Zn
_cell_length_a 4.8753
_cell_length_b 4.8753
_cell_length_c 4.8753
_cell_angle_alpha 90.00
_cell_angle_beta 90.00
_cell_angle_gamma 90.00
_symmetry_space_group_name_H-M 'P m -3 m'
_symmetry_Int_Tables_number 221
_symmetry_space_group_name_Hall '-P 4 2 3'
loop_
_atom_site_label
_atom_site_type_symbol
_atom_site_fract_x
_atom_site_fract_y
_atom_site_fract_z
Ca1 Ca 0.0000 0.0000 0.0000
Ti1 Ti 0.0000 0.5000 0.5000
Zn1 Zn 0.5000 0.5000 0.5000
# Calculated volume   23.18 A^3/atom
# Total moment   2.4 μB per formula unit

x | # CaTi3Zn GGA-PBE relaxed
data_CaTi3Zn
_cell_length_a 4.7019
_cell_length_b 4.7019
_cell_length_c 4.7019
_cell_angle_alpha 90.00
_cell_angle_beta 90.00
_cell_angle_gamma 90.00
_symmetry_space_group_name_H-M 'P m -3 m'
_symmetry_Int_Tables_number 221
_symmetry_space_group_name_Hall '-P 4 2 3'
loop_
_atom_site_label
_atom_site_type_symbol
_atom_site_fract_x
_atom_site_fract_y
_atom_site_fract_z
Ca1 Ca 0.0000 0.0000 0.0000
Ti1 Ti 0.0000 0.0000 0.5000
Zn1 Zn 0.5000 0.5000 0.5000
# Calculated volume   20.79 A^3/atom
# Total moment   2.9 μB per formula unit

Structures ranked by computed energy, the most stable listed first: w, x.

w | # CaTi2Zn2 GGA-PBE relaxed
data_CaTi2Zn2
_cell_length_a 4.7363
_cell_length_b 4.7363
_cell_length_c 9.6010
_cell_angle_alpha 90.00
_cell_angle_beta 90.00
_cell_angle_gamma 90.00
_symmetry_space_group_name_H-M 'I 4/m m m'
_symmetry_Int_Tables_number 139
_symmetry_space_group_name_Hall '-I 4 2'
loop_
_atom_site_label
_atom_site_type_symbol
_atom_site_fract_x
_atom_site_fract_y
_atom_site_fract_z
Ca1 Ca 0.0000 0.0000 0.0000
Ti1 Ti 0.0000 0.0000 0.3646
Zn1 Zn 0.0000 0.5000 0.2500
# Calculated volume   21.54 A^3/atom
# Total moment   2.4 μB per formula unit

x | # CaTi2Zn2 GGA-PBE relaxed
data_CaTi2Zn2
_cell_length_a 4.0495
_cell_length_b 4.0495
_cell_length_c 12.5089
_cell_angle_alpha 90.00
_cell_angle_beta 90.00
_cell_angle_gamma 90.00
_symmetry_space_group_name_H-M 'I 4/m m m'
_symmetry_Int_Tables_number 139
_symmetry_space_group_name_Hall '-I 4 2'
loop_
_atom_site_label
_atom_site_type_symbol
_atom_site_fract_x
_atom_site_fract_y
_atom_site_fract_z
Ca1 Ca 0.0000 0.0000 0.0000
Ti1 Ti 0.0000 0.5000 0.2500
Zn1 Zn 0.0000 0.0000 0.3975
# Calculated volume   20.51 A^3/atom
# Total moment   2.3 μB per formula unit

Structures ranked by computed energy, the most stable listed first: x, w.

w | # CaTiZn GGA-PBE relaxed
data_CaTiZn
_cell_length_a 4.7952
_cell_length_b 4.7952
_cell_length_c 6.4501
_cell_angle_alpha 90.00
_cell_angle_beta 90.00
_cell_angle_gamma 120.00
_symmetry_space_group_name_H-M 'P 63/m m c'
_symmetry_Int_Tables_number 194
_symmetry_space_group_name_Hall '-P 6c 2c'
loop_
_atom_site_label
_atom_site_type_symbol
_atom_site_fract_x
_atom_site_fract_y
_atom_site_fract_z
Ca1 Ca 0.0000 0.0000 0.0000
Ti1 Ti 0.3333 0.6667 0.2500
Zn1 Zn 0.3333 0.6667 0.7500
# Calculated volume   21.41 A^3/atom
# Total moment   0.0 μB per formula unit

x | # CaTiZn GGA-PBE relaxed
data_CaTiZn
_cell_length_a 11.4625
_cell_length_b 3.1910
_cell_length_c 7.6468
_cell_angle_alpha 90.00
_cell_angle_beta 108.53
_cell_angle_gamma 90.00
_symmetry_space_group_name_H-M 'C 1 2/m 1'
_symmetry_Int_Tables_number 12
loop_
_symmetry_equiv_pos_as_xyz
'x,y,z'
'-x,-y,-z'
'-x,y,-z'
'x,-y,z'
'x+1/2,y+1/2,z'
'-x+1/2,-y+1/2,-z'
'-x+1/2,y+1/2,-z'
'x+1/2,-y+1/2,z'
loop_
_atom_site_label
_atom_site_type_symbol
_atom_site_fract_x
_atom_site_fract_y
_atom_site_fract_z
Ca1 Ca 0.0036 0.0000 0.2429
Ti1 Ti 0.2034 0.5000 0.6044
Zn1 Zn 0.1991 0.5000 0.0914
# Calculated volume   22.10 A^3/atom
# Total moment   0.0 μB per formula unit

Structures ranked by computed energy, the most stable listed first: x, w.

w | # CaTiZn GGA-PBE relaxed
data_CaTiZn
_cell_length_a 3.4753
_cell_length_b 3.4753
_cell_length_c 11.2446
_cell_angle_alpha 90.00
_cell_angle_beta 90.00
_cell_angle_gamma 90.00
_symmetry_space_group_name_H-M 'P 4/m m m'
_symmetry_Int_Tables_number 123
_symmetry_space_group_name_Hall '-P 4 2'
loop_
_atom_site_label
_atom_site_type_symbol
_atom_site_fract_x
_atom_site_fract_y
_atom_site_fract_z
Ca1 Ca 0.0000 0.0000 0.1740
Ti1 Ti 0.5000 0.5000 0.3875
Zn1 Zn 0.0000 0.0000 0.5000
Zn2 Zn 0.5000 0.5000 0.0000
# Calculated volume   22.63 A^3/atom
# Total moment   1.4 μB per formula unit

x | # CaTiZn GGA-PBE relaxed
data_CaTiZn
_cell_length_a 11.3918
_cell_length_b 3.2125
_cell_length_c 7.7062
_cell_angle_alpha 90.00
_cell_angle_beta 110.45
_cell_angle_gamma 90.00
_symmetry_space_group_name_H-M 'C 1 m 1'
_symmetry_Int_Tables_number 8
loop_
_symmetry_equiv_pos_as_xyz
'x,y,z'
'x,-y,z'
'x+1/2,y+1/2,z'
'x+1/2,-y+1/2,z'
loop_
_atom_site_label
_atom_site_type_symbol
_atom_site_fract_x
_atom_site_fract_y
_atom_site_fract_z
Ca1 Ca 0.0000 0.0000 0.0000
Ca2 Ca 0.1904 0.5000 0.7565
Ti1 Ti 0.3029 0.0000 0.1872
Ti2 Ti 0.4860 0.5000 0.4009
Zn1 Zn 0.1789 0.5000 0.3536
Zn2 Zn 0.3785 0.0000 0.5962
# Calculated volume   22.02 A^3/atom
# Total moment   0.0 μB per formula unit

Structures ranked by computed energy, the most stable listed first: x, w.

w | # Ca3Tl2 GGA-PBE relaxed
data_Ca3Tl2
_cell_length_a 5.4100
_cell_length_b 5.4100
_cell_length_c 6.6727
_cell_angle_alpha 90.00
_cell_angle_beta 90.00
_cell_angle_gamma 120.00
_symmetry_space_group_name_H-M 'P -3 m 1'
_symmetry_Int_Tables_number 164
_symmetry_space_group_name_Hall '-P 3 2"'
loop_
_atom_site_label
_atom_site_type_symbol
_atom_site_fract_x
_atom_site_fract_y
_atom_site_fract_z
Ca1 Ca 0.0000 0.0000 0.0000
Ca2 Ca 0.3333 0.6667 0.3379
Tl1 Tl 0.3333 0.6667 0.8367
# Calculated volume   33.83 A^3/atom
# Total moment   0.0 μB per formula unit

x | # Ca3Tl2 GGA-PBE relaxed
data_Ca3Tl2
_cell_length_a 8.9157
_cell_length_b 8.9157
_cell_length_c 4.0526
_cell_angle_alpha 90.00
_cell_angle_beta 90.00
_cell_angle_gamma 90.00
_symmetry_space_group_name_H-M 'P 4/m b m'
_symmetry_Int_Tables_number 127
_symmetry_space_group_name_Hall '-P 4 2ab'
loop_
_atom_site_label
_atom_site_type_symbol
_atom_site_fract_x
_atom_site_fract_y
_atom_site_fract_z
Ca1 Ca 0.0000 0.0000 0.0000
Ca2 Ca 0.1626 0.3374 0.5000
Tl1 Tl 0.1356 0.6356 0.0000
# Calculated volume   32.21 A^3/atom
# Total moment   0.0 μB per formula unit

Structures ranked by computed energy, the most stable listed first: x, w.

w | # Ca4Tl GGA-PBE relaxed
data_Ca4Tl
_cell_length_a 6.0433
_cell_length_b 6.0433
_cell_length_c 6.0433
_cell_angle_alpha 90.00
_cell_angle_beta 90.00
_cell_angle_gamma 90.00
_symmetry_space_group_name_H-M 'P m -3 m'
_symmetry_Int_Tables_number 221
_symmetry_space_group_name_Hall '-P 4 2 3'
loop_
_atom_site_label
_atom_site_type_symbol
_atom_site_fract_x
_atom_site_fract_y
_atom_site_fract_z
Ca1 Ca 0.0000 0.0000 0.0000
Ca2 Ca 0.0000 0.5000 0.5000
Tl1 Tl 0.5000 0.5000 0.5000
# Calculated volume   44.14 A^3/atom
# Total moment   0.0 μB per formula unit

x | # Ca4Tl GGA-PBE relaxed
data_Ca4Tl
_cell_length_a 12.8583
_cell_length_b 15.5657
_cell_length_c 7.7563
_cell_angle_alpha 90.00
_cell_angle_beta 90.00
_cell_angle_gamma 90.00
_symmetry_space_group_name_H-M 'F d d 2'
_symmetry_Int_Tables_number 43
_symmetry_space_group_name_Hall 'F 2 -2d'
loop_
_atom_site_label
_atom_site_type_symbol
_atom_site_fract_x
_atom_site_fract_y
_atom_site_fract_z
Ca1 Ca 0.0771 0.1106 0.0000
Ca2 Ca 0.1016 0.1836 0.5544
Tl1 Tl 0.0000 0.0000 0.6440
# Calculated volume   38.81 A^3/atom
# Total moment   0.0 μB per formula unit

Structures ranked by computed energy, the most stable listed first: x, w.

w | # CaTm5Tl6 GGA-PBE relaxed
data_CaTm5Tl6
_cell_length_a 5.3675
_cell_length_b 16.1323
_cell_length_c 7.4426
_cell_angle_alpha 90.00
_cell_angle_beta 90.00
_cell_angle_gamma 90.00
_symmetry_space_group_name_H-M 'C m m m'
_symmetry_Int_Tables_number 65
_symmetry_space_group_name_Hall '-C 2 2'
loop_
_atom_site_label
_atom_site_type_symbol
_atom_site_fract_x
_atom_site_fract_y
_atom_site_fract_z
Ca1 Ca 0.0000 0.0000 0.0000
Tm1 Tm 0.0000 0.0000 0.5000
Tm2 Tm 0.0000 0.3330 0.0000
Tm3 Tm 0.0000 0.3355 0.5000
Tl1 Tl 0.0000 0.1679 0.2528
Tl2 Tl 0.0000 0.5000 0.2506
# Calculated volume   26.85 A^3/atom
# Total moment   0.0 μB per formula unit

x | # CaTm5Tl6 GGA-PBE relaxed
data_CaTm5Tl6
_cell_length_a 9.8263
_cell_length_b 11.0915
_cell_length_c 6.4689
_cell_angle_alpha 90.00
_cell_angle_beta 102.34
_cell_angle_gamma 90.00
_symmetry_space_group_name_H-M 'C 1 2/m 1'
_symmetry_Int_Tables_number 12
loop_
_symmetry_equiv_pos_as_xyz
'x,y,z'
'-x,-y,-z'
'-x,y,-z'
'x,-y,z'
'x+1/2,y+1/2,z'
'-x+1/2,-y+1/2,-z'
'-x+1/2,y+1/2,-z'
'x+1/2,-y+1/2,z'
loop_
_atom_site_label
_atom_site_type_symbol
_atom_site_fract_x
_atom_site_fract_y
_atom_site_fract_z
Ca1 Ca 0.0000 0.0000 0.0000
Tm1 Tm 0.0000 0.1691 0.5000
Tm2 Tm 0.0000 0.3373 0.0000
Tm3 Tm 0.0000 0.5000 0.5000
Tl1 Tl 0.2485 0.0000 0.7371
Tl2 Tl 0.2498 0.1709 0.2478
# Calculated volume   28.70 A^3/atom
# Total moment   0.0 μB per formula unit

Structures ranked by computed energy, the most stable listed first: w, x.

w | # Ca2TmTl GGA-PBE relaxed
data_Ca2TmTl
_cell_length_a 3.7084
_cell_length_b 3.7084
_cell_length_c 33.6238
_cell_angle_alpha 90.00
_cell_angle_beta 90.00
_cell_angle_gamma 120.00
_symmetry_space_group_name_H-M 'R 3 m'
_symmetry_Int_Tables_number 160
_symmetry_space_group_name_Hall 'R 3 -2"'
loop_
_atom_site_label
_atom_site_type_symbol
_atom_site_fract_x
_atom_site_fract_y
_atom_site_fract_z
Ca1 Ca 0.0000 0.0000 0.0000
Ca2 Ca 0.0000 0.0000 0.1808
Tm1 Tm 0.0000 0.0000 0.4246
Tl1 Tl 0.0000 0.0000 0.5904
# Calculated volume   33.37 A^3/atom
# Total moment   0.7 μB per formula unit

x | # Ca2TmTl GGA-PBE relaxed
data_Ca2TmTl
_cell_length_a 3.6484
_cell_length_b 3.6484
_cell_length_c 37.4680
_cell_angle_alpha 90.00
_cell_angle_beta 90.00
_cell_angle_gamma 120.00
_symmetry_space_group_name_H-M 'R -3 m'
_symmetry_Int_Tables_number 166
_symmetry_space_group_name_Hall '-R 3 2"'
loop_
_atom_site_label
_atom_site_type_symbol
_atom_site_fract_x
_atom_site_fract_y
_atom_site_fract_z
Ca1 Ca 0.0000 0.0000 0.0871
Tm1 Tm 0.0000 0.0000 0.5000
Tl1 Tl 0.0000 0.0000 0.0000
# Calculated volume   35.99 A^3/atom
# Total moment   0.0 μB per formula unit

Structures ranked by computed energy, the most stable listed first: w, x.